Entry 1:
# FeCo4Ir

A crystal of FeCo4Ir relaxed with PBEsol (meta-GGA SCAN, the Alexandria database).

Cell lengths 4.592, 4.592, 4.592 Å; angles 60.00, 60.00, 60.00 degrees
Element x y z (fractional)
Fe: 0.000 0.000 0.000
Co: 0.125 0.625 0.625
Co: 0.625 0.125 0.625
Co: 0.625 0.625 0.125
Co: 0.625 0.625 0.625
Ir: 0.250 0.250 0.250

Output
Total magnetization: 11.11 Bohr magnetons per cell
Space group: F-43m (216)
Formation energy from the elements: 12 meV/atom
Crystal system: cubic



Entry 2:
# FeCo2Ir

A crystal of FeCo2Ir relaxed with PBEsol (meta-GGA SCAN, the Alexandria database).

Cell lengths 4.069, 4.069, 4.069 Å; angles 60.00, 60.00, 60.00 degrees
Element x y z (fractional)
Fe: 0.000 0.000 0.000
Co: 0.250 0.250 0.250
Co: 0.500 0.500 0.500
Ir: 0.750 0.750 0.750

Output
Total magnetization: 7.76 Bohr magnetons per cell
Space group: F-43m (216)
Formation energy from the elements: -84 meV/atom
Crystal system: cubic
ΔE to the lowest computed polymorph: 2.0 kJ per mole of atoms



Entry 3:
# FeCoIr

A crystal of FeCoIr relaxed with PBEsol (meta-GGA SCAN, the Alexandria database).

Cell lengths 6.575, 6.354, 2.583 Å; angles 83.34, 73.70, 22.96 degrees
Element x y z (fractional)
Fe: 0.000 0.000 0.000
Co: 0.652 0.652 0.348
Ir: 0.327 0.327 0.673

Output
Total magnetization: 5.56 Bohr magnetons per cell
Space group: Fmm2 (42)
Formation energy from the elements: -1 meV/atom
Crystal system: orthorhombic
ΔE to the lowest computed polymorph: 0.6 kJ per mole of atoms



Entry 4:
# FeCoIr

A crystal of FeCoIr relaxed with PBEsol (meta-GGA SCAN, the Alexandria database).

Cell lengths 2.612, 2.612, 6.122 Å; angles 90.00, 90.00, 120.00 degrees
Element x y z (fractional)
Fe: 0.000 0.000 0.000
Co: 0.667 0.333 0.311
Ir: 0.333 0.667 0.657

Output
Total magnetization: 5.15 Bohr magnetons per cell
Space group: P3m1 (156)
Formation energy from the elements: -7 meV/atom
Crystal system: trigonal
ΔE to the lowest computed polymorph: 0.0 kJ per mole of atoms



Entry 5:
# FeCo2Ir

A crystal of FeCo2Ir relaxed with PBEsol (meta-GGA SCAN, the Alexandria database).

Cell lengths 4.774, 4.774, 4.774 Å; angles 145.84, 128.68, 63.11 degrees
Element x y z (fractional)
Fe: 0.000 0.000 0.000
Co: 0.235 0.735 0.500
Co: 0.765 0.265 0.500
Ir: 0.500 0.500 0.000

Output
Total magnetization: 7.59 Bohr magnetons per cell
Space group: Immm (71)
Formation energy from the elements: -105 meV/atom
Crystal system: orthorhombic
ΔE to the lowest computed polymorph: 0.0 kJ per mole of atoms



Entry 6:
# FeCo2Ir

A crystal of FeCo2Ir relaxed with PBEsol (meta-GGA SCAN, the Alexandria database).

Cell lengths 8.276, 8.276, 8.276 Å; angles 17.97, 17.97, 17.97 degrees
Element x y z (fractional)
Fe: 0.000 0.000 0.000
Co: 0.252 0.252 0.252
Co: 0.508 0.508 0.508
Ir: 0.753 0.753 0.753

Output
Total magnetization: 6.91 Bohr magnetons per cell
Space group: R3m (160)
Formation energy from the elements: 20 meV/atom
Crystal system: trigonal
ΔE to the lowest computed polymorph: 12.1 kJ per mole of atoms



Entry 7:
# FeCo2TcIr

A crystal of FeCo2TcIr relaxed with PBEsol (meta-GGA SCAN, the Alexandria database).

Cell lengths 4.254, 4.254, 4.640 Å; angles 90.00, 90.00, 90.00 degrees
Element x y z (fractional)
Fe: 0.000 0.000 0.000
Co: 0.000 0.500 0.500
Co: 0.500 0.000 0.500
Tc: 0.500 0.500 0.500
Ir: 0.500 0.500 0.000

Output
Total magnetization: 6.58 Bohr magnetons per cell
Space group: P4/mmm (123)
Formation energy from the elements: 1630 meV/atom
Crystal system: tetragonal



Entry 8:
# FeCoIr2W

A crystal of FeCoIr2W relaxed with PBEsol (meta-GGA SCAN, the Alexandria database).

Cell lengths 4.678, 4.678, 4.334 Å; angles 90.00, 90.00, 90.00 degrees
Element x y z (fractional)
Fe: 0.000 0.000 0.000
Co: 0.500 0.500 0.000
Ir: 0.000 0.500 0.500
Ir: 0.500 0.000 0.500
W: 0.000 0.000 0.500

Output
Total magnetization: 4.15 Bohr magnetons per cell
Space group: P4/mmm (123)
Formation energy from the elements: 1809 meV/atom
Crystal system: tetragonal



Entry 9:
# KFe2Co

A crystal of KFe2Co relaxed with PBEsol (meta-GGA SCAN, the Alexandria database).

Cell lengths 3.036, 3.036, 7.577 Å; angles 90.00, 90.00, 90.00 degrees
Element x y z (fractional)
K: 0.000 0.000 0.000
Fe: 0.500 0.500 0.354
Fe: 0.500 0.500 0.646
Co: 0.000 0.000 0.500

Output
Total magnetization: 7.75 Bohr magnetons per cell
Space group: P4/mmm (123)
Formation energy from the elements: 591 meV/atom
Crystal system: tetragonal
ΔE to the lowest computed polymorph: 0.0 kJ per mole of atoms



Entry 10:
# K2FeCo

A crystal of K2FeCo relaxed with PBEsol (meta-GGA SCAN, the Alexandria database).

Cell lengths 3.911, 3.911, 5.352 Å; angles 90.00, 90.00, 90.00 degrees
Element x y z (fractional)
K: 0.000 0.500 0.000
K: 0.500 0.000 0.000
Fe: 0.000 0.000 0.500
Co: 0.500 0.500 0.500

Output
Total magnetization: 4.16 Bohr magnetons per cell
Space group: P4/mmm (123)
Formation energy from the elements: 1326 meV/atom
Crystal system: tetragonal
ΔE to the lowest computed polymorph: 1.4 kJ per mole of atoms



Entry 11:
# K2FeCo

A crystal of K2FeCo relaxed with PBEsol (meta-GGA SCAN, the Alexandria database).

Cell lengths 2.762, 2.762, 10.938 Å; angles 90.00, 90.00, 106.61 degrees
Element x y z (fractional)
K: 0.000 0.000 0.241
K: 0.000 0.000 0.759
Fe: 0.500 0.500 0.500
Co: 0.500 0.500 0.000

Output
Total magnetization: 4.22 Bohr magnetons per cell
Space group: Cmmm (65)
Formation energy from the elements: 1312 meV/atom
Crystal system: orthorhombic
ΔE to the lowest computed polymorph: 0.0 kJ per mole of atoms



Entry 12:
# KFeCo4

A crystal of KFeCo4 relaxed with PBEsol (meta-GGA SCAN, the Alexandria database).

Cell lengths 4.864, 4.864, 4.864 Å; angles 60.00, 60.00, 60.00 degrees
Element x y z (fractional)
K: 0.000 0.000 0.000
Fe: 0.250 0.250 0.250
Co: 0.129 0.624 0.624
Co: 0.624 0.129 0.624
Co: 0.624 0.624 0.129
Co: 0.624 0.624 0.624

Output
Total magnetization: 10.49 Bohr magnetons per cell
Space group: F-43m (216)
Formation energy from the elements: 783 meV/atom
Crystal system: cubic